# Pr8Dy2Tm3, relaxed, DFT GGA-PBE
data_Pr8Dy2Tm3
_chemical_formula_sum 'Pr16 Dy4 Tm6'
_space_group_name_H-M_alt 'C 1 2/m 1'
_space_group_IT_number 12
_cell_length_a 20.478
_cell_length_b 7.756
_cell_length_c 5.745
_cell_angle_alpha 90.00
_cell_angle_beta 90.02
_cell_angle_gamma 90.00
loop_
_space_group_symop_operation_xyz
'x,y,z'
'-x,-y,-z'
'-x,y,-z'
'x,-y,z'
'x+1/2,y+1/2,z'
'-x+1/2,-y+1/2,-z'
'-x+1/2,y+1/2,-z'
'x+1/2,-y+1/2,z'
loop_
_atom_site_label
_atom_site_type_symbol
_atom_site_fract_x
_atom_site_fract_y
_atom_site_fract_z
Pr1 Pr 0.105 0.203 0.000
Pr2 Pr 0.129 0.500 0.499
Pr3 Pr 0.174 0.000 0.501
Dy1 Dy 0.239 0.500 0.999
Tm1 Tm 0.000 0.214 0.500
Tm2 Tm 0.000 0.500 0.000
# Final energy   -4.486 eV per atom

***

# PrDy4Tm, relaxed, DFT GGA-PBE
data_PrDy4Tm
_chemical_formula_sum 'Pr4 Dy16 Tm4'
_space_group_name_H-M_alt 'F -4 3 m'
_space_group_IT_number 216
_space_group_name_Hall 'F -4 2 3'
_cell_length_a 9.306
_cell_length_b 9.306
_cell_length_c 9.306
_cell_angle_alpha 90.00
_cell_angle_beta 90.00
_cell_angle_gamma 90.00
loop_
_atom_site_label
_atom_site_type_symbol
_atom_site_fract_x
_atom_site_fract_y
_atom_site_fract_z
Pr1 Pr 0.000 0.000 0.000
Dy1 Dy 0.125 0.125 0.375
Tm1 Tm 0.250 0.250 0.750
# Final energy   -4.340 eV per atom

***

# PrDy7Tm2, relaxed, DFT GGA-PBE
data_PrDy7Tm2
_chemical_formula_sum 'Pr1 Dy7 Tm2'
_space_group_name_H-M_alt 'P -1'
_space_group_IT_number 2
_cell_length_a 6.140
_cell_length_b 7.094
_cell_length_c 7.921
_cell_angle_alpha 77.12
_cell_angle_beta 75.03
_cell_angle_gamma 73.28
loop_
_space_group_symop_operation_xyz
'x,y,z'
'-x,-y,-z'
loop_
_atom_site_label
_atom_site_type_symbol
_atom_site_fract_x
_atom_site_fract_y
_atom_site_fract_z
Pr1 Pr 0.000 0.000 0.000
Dy1 Dy 0.000 0.500 0.000
Dy2 Dy 0.200 0.301 0.599
Dy3 Dy 0.400 0.100 0.202
Dy4 Dy 0.401 0.599 0.202
Tm1 Tm 0.200 0.800 0.599
# Final energy   -4.576 eV per atom

***

# Pr7Dy3Tm, relaxed, DFT GGA-PBE
data_Pr7Dy3Tm
_chemical_formula_sum 'Pr28 Dy12 Tm4'
_space_group_name_H-M_alt 'C 1 2/c 1'
_space_group_IT_number 15
_cell_length_a 19.521
_cell_length_b 7.202
_cell_length_c 12.764
_cell_angle_alpha 90.00
_cell_angle_beta 117.14
_cell_angle_gamma 90.00
loop_
_space_group_symop_operation_xyz
'x,y,z'
'-x,-y,-z'
'-x,y,-z+1/2'
'x,-y,z+1/2'
'x+1/2,y+1/2,z'
'-x+1/2,-y+1/2,-z'
'-x+1/2,y+1/2,-z+1/2'
'x+1/2,-y+1/2,z+1/2'
loop_
_atom_site_label
_atom_site_type_symbol
_atom_site_fract_x
_atom_site_fract_y
_atom_site_fract_z
Pr1 Pr 0.000 0.199 0.250
Pr2 Pr 0.158 0.497 0.772
Pr3 Pr 0.164 0.245 0.021
Pr4 Pr 0.167 0.248 0.527
Dy1 Dy 0.000 0.500 0.000
Dy2 Dy 0.172 0.003 0.273
Tm1 Tm 0.000 0.000 0.000
# Final energy   -4.517 eV per atom

***

# Pr14DyTm, relaxed, DFT GGA-PBE
data_Pr14DyTm
_chemical_formula_sum 'Pr14 Dy1 Tm1'
_space_group_name_H-M_alt 'P 4/m m m'
_space_group_IT_number 123
_space_group_name_Hall '-P 4 2'
_cell_length_a 7.373
_cell_length_b 7.373
_cell_length_c 10.439
_cell_angle_alpha 90.00
_cell_angle_beta 90.00
_cell_angle_gamma 90.00
loop_
_atom_site_label
_atom_site_type_symbol
_atom_site_fract_x
_atom_site_fract_y
_atom_site_fract_z
Pr1 Pr 0.000 0.000 0.000
Pr2 Pr 0.000 0.500 0.000
Pr3 Pr 0.000 0.500 0.500
Pr4 Pr 0.250 0.250 0.253
Pr5 Pr 0.500 0.500 0.000
Dy1 Dy 0.000 0.000 0.500
Tm1 Tm 0.500 0.500 0.500
# Final energy   -4.736 eV per atom

***

# PrDy5Tm6, relaxed, DFT GGA-PBE
data_PrDy5Tm6
_chemical_formula_sum 'Pr2 Dy10 Tm12'
_space_group_name_H-M_alt 'I m m m'
_space_group_IT_number 71
_space_group_name_Hall '-I 2 2'
_cell_length_a 4.988
_cell_length_b 9.951
_cell_length_c 14.997
_cell_angle_alpha 90.00
_cell_angle_beta 90.00
_cell_angle_gamma 90.00
loop_
_atom_site_label
_atom_site_type_symbol
_atom_site_fract_x
_atom_site_fract_y
_atom_site_fract_z
Pr1 Pr 0.000 0.000 0.000
Dy1 Dy 0.000 0.000 0.333
Dy2 Dy 0.000 0.500 0.000
Dy3 Dy 0.000 0.500 0.332
Tm1 Tm 0.000 0.248 0.500
Tm2 Tm 0.000 0.251 0.167
# Final energy   -4.527 eV per atom

***

# Pr2Dy5Tm12, relaxed, DFT GGA-PBE
data_Pr2Dy5Tm12
_chemical_formula_sum 'Pr4 Dy10 Tm24'
_space_group_name_H-M_alt 'C 1 2/m 1'
_space_group_IT_number 12
_cell_length_a 15.674
_cell_length_b 9.159
_cell_length_c 8.441
_cell_angle_alpha 90.00
_cell_angle_beta 91.32
_cell_angle_gamma 90.00
loop_
_space_group_symop_operation_xyz
'x,y,z'
'-x,-y,-z'
'-x,y,-z'
'x,-y,z'
'x+1/2,y+1/2,z'
'-x+1/2,-y+1/2,-z'
'-x+1/2,y+1/2,-z'
'x+1/2,-y+1/2,z'
loop_
_atom_site_label
_atom_site_type_symbol
_atom_site_fract_x
_atom_site_fract_y
_atom_site_fract_z
Pr1 Pr 0.000 0.188 0.000
Dy1 Dy 0.000 0.500 0.500
Dy2 Dy 0.198 0.000 0.007
Dy3 Dy 0.233 0.500 0.578
Tm1 Tm 0.056 0.000 0.328
Tm2 Tm 0.094 0.500 0.883
Tm3 Tm 0.127 0.191 0.651
Tm4 Tm 0.157 0.319 0.247
# Final energy   -4.404 eV per atom

***

# PrDy4Tm10, relaxed, DFT GGA-PBE
data_PrDy4Tm10
_chemical_formula_sum 'Pr2 Dy8 Tm20'
_space_group_name_H-M_alt 'I 4/m'
_space_group_IT_number 87
_space_group_name_Hall '-I 4'
_cell_length_a 9.715
_cell_length_b 9.715
_cell_length_c 10.682
_cell_angle_alpha 90.00
_cell_angle_beta 90.00
_cell_angle_gamma 90.00
loop_
_atom_site_label
_atom_site_type_symbol
_atom_site_fract_x
_atom_site_fract_y
_atom_site_fract_z
Pr1 Pr 0.000 0.000 0.000
Dy1 Dy 0.054 0.291 0.500
Tm1 Tm 0.000 0.500 0.250
Tm2 Tm 0.122 0.219 0.169
# Final energy   -4.038 eV per atom

***

Repeat the sixth record exactly.
# PrDy5Tm6, relaxed, DFT GGA-PBE
data_PrDy5Tm6
_chemical_formula_sum 'Pr2 Dy10 Tm12'
_space_group_name_H-M_alt 'I m m m'
_space_group_IT_number 71
_space_group_name_Hall '-I 2 2'
_cell_length_a 4.988
_cell_length_b 9.951
_cell_length_c 14.997
_cell_angle_alpha 90.00
_cell_angle_beta 90.00
_cell_angle_gamma 90.00
loop_
_atom_site_label
_atom_site_type_symbol
_atom_site_fract_x
_atom_site_fract_y
_atom_site_fract_z
Pr1 Pr 0.000 0.000 0.000
Dy1 Dy 0.000 0.000 0.333
Dy2 Dy 0.000 0.500 0.000
Dy3 Dy 0.000 0.500 0.332
Tm1 Tm 0.000 0.248 0.500
Tm2 Tm 0.000 0.251 0.167
# Final energy   -4.527 eV per atom

***

Question: Which formula does entry 6 have?
Answer: PrDy5Tm6

***

Question: Which of these has the lowest final energy?
Answer: Pr14DyTm

***

Question: final energy of number 8 (PrDy4Tm10)?
Answer: -4.038 eV per atom